First-principles (PBE) data for an optimized crystal structure of Mg2InP, as listed in the Alexandria database.

Cell lengths 3.5260, 3.5260, 6.5246 Å; angles 90.00, 90.00, 90.00 degrees
Last column: nearest neighbours and their distance in Å.
Sites, in units of the cell vectors:
Mg  0.0000  0.0000  0.2111  1 Mg 2.75, 4 P 2.85
Mg  0.0000  0.0000  0.7889  1 Mg 2.75, 4 P 2.85
In  0.5000  0.5000  0.5000  8 Mg 3.13, 2 P 3.26
P  0.5000  0.5000  0.0000  8 Mg 2.85

The crystal system is tetragonal. Its density is 3.98 g cm⁻³. The calculation puts the formation energy at -13 kJ/mol of atoms.


First-principles (PBE) data for an optimized crystal structure of Mg3InP, as listed in the Alexandria database.

Cell lengths 4.9345, 4.9345, 4.9345 Å; angles 90.00, 90.00, 90.00 degrees
Last column: nearest neighbours and their distance in Å.
Sites, in units of the cell vectors:
Mg  0.0000  0.0000  0.5000  2 P 2.47
Mg  0.0000  0.5000  0.0000  2 P 2.47
Mg  0.5000  0.0000  0.0000  2 P 2.47
In  0.5000  0.5000  0.5000  12 Mg 3.49
P  0.0000  0.0000  0.0000  6 Mg 2.47

The crystal system is cubic. Its density is 3.02 g cm⁻³. The calculation puts the formation energy at -10 kJ/mol of atoms.


First-principles (PBE) data for an optimized crystal structure of Mg2InP, as listed in the Alexandria database.

Cell lengths 3.8174, 3.7509, 6.1565 Å; angles 90.00, 103.71, 90.00 degrees
Last column: nearest neighbours and their distance in Å.
Sites, in units of the cell vectors:
Mg  0.1002  0.0000  0.2772  2 P 2.60
Mg  0.8998  0.0000  0.7228  2 P 2.60
In  0.5000  0.5000  0.0000  2 P 3.08, 8 Mg 3.13-3.16
P  0.5000  0.5000  0.5000  4 Mg 2.60

The crystal system is monoclinic. Its density is 3.77 g cm⁻³. The calculation puts the formation energy at -14 kJ/mol of atoms.


First-principles (PBE) data for an optimized crystal structure of MgInP, as listed in the Alexandria database.

Cell lengths 8.9795, 8.9795, 3.0552 Å; angles 90.00, 90.00, 120.00 degrees
Last column: nearest neighbours and their distance in Å.
Sites, in units of the cell vectors:
Mg  0.0000  0.2895  0.0000  2 P 2.62
Mg  0.2895  0.0000  0.0000  2 P 2.62
Mg  0.7105  0.7105  0.0000  2 P 2.62
In  0.0000  0.0000  0.5000  6 Mg 3.01, 2 In 3.06
In  0.3333  0.6667  0.0000  6 P 3.02, 2 In 3.06, 3 Mg 3.21
In  0.6667  0.3333  0.0000  6 P 3.02, 2 In 3.06, 3 Mg 3.21
P  0.0000  0.5266  0.5000  2 Mg 2.62
P  0.4734  0.4734  0.5000  2 Mg 2.62
P  0.5266  0.0000  0.5000  2 Mg 2.62

The crystal system is hexagonal. Its density is 3.97 g cm⁻³. The calculation puts the formation energy at 14 kJ/mol of atoms.


First-principles (PBE) data for an optimized crystal structure of Mg2InP, as listed in the Alexandria database.

Cell lengths 4.9729, 4.9729, 4.9729 Å; angles 60.00, 60.00, 60.00 degrees
Last column: nearest neighbours and their distance in Å.
Sites, in units of the cell vectors:
Mg  0.0000  0.0000  0.0000  4 In 3.05, 4 Mg 3.05
Mg  0.2500  0.2500  0.2500  4 P 3.05, 4 Mg 3.05
In  0.7500  0.7500  0.7500  4 P 3.05, 4 Mg 3.05
P  0.5000  0.5000  0.5000  4 Mg 3.05, 4 In 3.05

The crystal system is cubic. Its density is 3.71 g cm⁻³. The calculation puts the formation energy at 13 kJ/mol of atoms.


First-principles (PBE) data for an optimized crystal structure of MgInP2, as listed in the Alexandria database.

Cell lengths 4.7484, 4.7484, 4.7484 Å; angles 60.00, 60.00, 60.00 degrees
Last column: nearest neighbours and their distance in Å.
Sites, in units of the cell vectors:
Mg  0.0000  0.0000  0.0000  8 P 2.91
In  0.5000  0.5000  0.5000  8 P 2.91
P  0.2500  0.2500  0.2500  4 In 2.91, 4 Mg 2.91
P  0.7500  0.7500  0.7500  4 In 2.91, 4 Mg 2.91

The crystal system is cubic. Its density is 4.41 g cm⁻³. The calculation puts the formation energy at 19 kJ/mol of atoms.